Pr2NdSi4Pt4, optimized geometry, DFT PBE; raw total energy = -6.5768 eV per atom
1.0
-2.1170 2.1220 12.2551
2.1170 -2.1220 12.2551
2.1170 2.1220 -12.2551
Nd Pr Pt Si
1 2 4 4
direct
0.0000 0.0000 0.0000 Nd
0.6455 0.1455 0.5000 Pr
0.3545 0.8545 0.5000 Pr
0.2469 0.2469 0.0000 Pt
0.7531 0.7531 0.0000 Pt
0.9031 0.4031 0.5000 Pt
0.0969 0.5969 0.5000 Pt
0.4511 0.4511 0.0000 Si
0.5489 0.5489 0.0000 Si
0.8043 0.3043 0.5000 Si
0.1957 0.6957 0.5000 Si

GaCu15, optimized geometry, DFT PBE; offset from the most stable computed form = 0.58 eV/f.u.
1.0
-1.1903 -1.0690 7.0103
0.7962 -2.4237 -0.2344
32.0515 9.8585 6.9322
Cu Ga
30 2
direct
0.8749 0.7500 0.0186 Cu
0.3751 0.7500 0.0187 Cu
0.1250 0.2500 0.0561 Cu
0.6250 0.2500 0.0561 Cu
0.8750 0.7500 0.0935 Cu
0.3750 0.7500 0.0935 Cu
0.1250 0.2500 0.1306 Cu
0.6250 0.2500 0.1308 Cu
0.8747 0.7500 0.1683 Cu
0.3753 0.7500 0.1683 Cu
0.1250 0.2500 0.2050 Cu
0.6250 0.2500 0.2053 Cu
0.8719 0.7500 0.2442 Cu
0.3780 0.7500 0.2442 Cu
0.6250 0.2500 0.2789 Cu
0.3750 0.7500 0.7211 Cu
0.6220 0.2500 0.7558 Cu
0.1281 0.2500 0.7558 Cu
0.3750 0.7500 0.7947 Cu
0.8750 0.7500 0.7950 Cu
0.6247 0.2500 0.8317 Cu
0.1253 0.2500 0.8317 Cu
0.3750 0.7500 0.8692 Cu
0.8750 0.7500 0.8694 Cu
0.6250 0.2500 0.9065 Cu
0.1250 0.2500 0.9065 Cu
0.3750 0.7500 0.9439 Cu
0.8750 0.7500 0.9439 Cu
0.6249 0.2500 0.9813 Cu
0.1251 0.2500 0.9814 Cu
0.1249 0.2500 0.2826 Ga
0.8751 0.7500 0.7174 Ga

Y2ScCu2, optimized geometry, DFT PBE; formation energy from the elements = 0.10 eV/atom
1.0
-2.3506 2.3506 5.2913
2.3506 -2.3506 5.2913
2.3506 2.3506 -5.2913
Cu Sc Y
2 1 2
direct
0.3938 0.3938 0.0000 Cu
0.6062 0.6062 0.0000 Cu
0.0000 0.0000 0.0000 Sc
0.7500 0.2500 0.5000 Y
0.2500 0.7500 0.5000 Y

Nd2Sm2I5N, optimized geometry, DFT PBE; raw total energy = -4.8134 eV per atom
1.0
9.5750 -2.0069 0.0000
9.5750 2.0069 0.0000
-1.9538 0.0000 8.5729
I N Nd Sm
5 1 2 2
direct
0.8293 0.8293 0.1763 I
0.1656 0.1656 0.3411 I
0.5000 0.5000 0.5000 I
0.8344 0.8344 0.6589 I
0.1707 0.1707 0.8237 I
0.5000 0.5000 0.0000 N
0.9988 0.9988 0.1922 Nd
0.0012 0.0012 0.8078 Nd
0.6291 0.6291 0.0642 Sm
0.3709 0.3709 0.9358 Sm

Number 1: V 220 Å³/cell. Number 2: V 631 Å³/cell. Number 3: V 117 Å³/cell. Number 4: V 329 Å³/cell.